The following is a DFT calculation (PBE-GGA) of an optimized crystal structure of SiOsCN.

Unit cell a=3.241 b=3.241 c=16.084 alpha=90.00 beta=90.00 gamma=120.00
Positions (direct):
N 0.000 0.000 0.725
N 0.333 0.667 0.392
C 0.000 0.000 0.213
Si 0.333 0.667 0.687
Os 0.667 0.333 0.205
Si 0.000 0.000 0.020
C 0.333 0.667 0.880
C 0.667 0.333 0.546
N 0.667 0.333 0.059
Os 0.000 0.000 0.872
Si 0.667 0.333 0.354
Os 0.333 0.667 0.538

Computed properties:
Relative energy among the computed polymorphs = 0.96 eV per formula unit
SG = R3m